Entry 1:
Below is a relaxed Be3IrS crystal, with properties calculated at the PBE level.

Summary:
The calculation puts the energy relative to the lowest polymorph listed for this composition at 5 meV/atom. The calculation puts the formation energy (no corrections) at 572 meV per atom. The calculation puts the spin magnetization at 0.00 μB per formula unit. As for the calculated volume: 61.96 Å³/cell. The energy is -4.261 eV per atom.

a b c (Å): 3.9570 3.9570 3.9570
angles (deg): 90.00 90.00 90.00
With the nearest neighbours (Å) after each atom.
Space group Pm-3m (No. 221)
Inequivalent atoms, fractional coordinates:
Be 0.0000 0.0000 0.5000 (multiplicity 3)  2 S 1.98
Ir 0.5000 0.5000 0.5000 (multiplicity 1)  12 Be 2.80
S 0.0000 0.0000 0.0000 (multiplicity 1)  6 Be 1.98

Entry 2:
Below is a relaxed PrNd6Tl5 crystal, with properties calculated at the PBE level.

Summary:
The calculation puts the energy relative to the lowest polymorph listed for this composition at 13 meV/atom. The calculation puts the formation energy at -0.290 eV per atom. The calculation puts the spin magnetization at 3.18 μB per formula unit. As for the calculated volume: 738.35 Å³/cell. The energy is -4.058 eV per atom.

a b c (Å): 5.5902 17.0358 7.7531
angles (deg): 90.00 90.00 90.00
With the nearest neighbours (Å) after each atom.
Space group Cmmm (No. 65)
Inequivalent atoms, fractional coordinates:
Pr 0.0000 0.0000 0.0000 (multiplicity 2)  8 Nd 3.49-3.53, 6 Tl 3.80-3.88
Nd 0.0000 0.1739 0.2484 (multiplicity 8)  7 Tl 3.34-3.55, 1 Pr 3.53
Nd 0.0000 0.5000 0.2698 (multiplicity 4)  6 Tl 3.31-3.36, 2 Pr 3.49, 1 Nd 3.57
Tl 0.0000 0.0000 0.5000 (multiplicity 2)  8 Nd 3.32-3.55
Tl 0.0000 0.3328 0.5000 (multiplicity 4)  8 Nd 3.34-3.41
Tl 0.0000 0.3493 0.0000 (multiplicity 4)  8 Nd 3.31-3.55

Entry 3:
Below is a relaxed DyZr2Co9 crystal, with properties calculated at the PBE level.

Summary:
The calculation puts the formation energy at -0.244 eV per atom. The calculation puts the spin magnetization at 9.48 μB per formula unit. As for the calculated volume: 494.32 Å³/cell. The energy is -7.381 eV per atom.

a b c (Å): 4.8915 4.8915 23.8556
angles (deg): 90.00 90.00 120.00
With the nearest neighbours (Å) after each atom.
Space group R-3m (No. 166, hexagonal axes)
Inequivalent atoms, fractional coordinates:
Dy 0.0000 0.0000 0.0000 (multiplicity 3)  18 Co 2.82-3.16
Zr 0.0000 0.0000 0.1395 (multiplicity 6)  12 Co 2.78-2.97, 3 Zr 3.11
Co 0.0000 0.0000 0.3356 (multiplicity 6)  6 Co 2.42-2.48
Co 0.0000 0.0000 0.5000 (multiplicity 3)  6 Co 2.44
Co 0.0056 0.5028 0.9160 (multiplicity 18)  7 Co 2.40-2.49

Entry 4:
Below is a relaxed ErTiTlIn crystal, with properties calculated at the PBE level.

Summary:
The calculation puts the formation energy at -0.083 eV per atom. The calculation puts the spin magnetization at 1.60 μB per formula unit. As for the calculated volume: 373.71 Å³/cell. The energy is -4.474 eV per atom.

a b c (Å): 7.2030 7.2030 7.2030
angles (deg): 90.00 90.00 90.00
With the nearest neighbours (Å) after each atom.
Space group F-43m (No. 216)
Inequivalent atoms, fractional coordinates:
Er 0.0000 0.0000 0.0000 (multiplicity 4)  4 Tl 3.12, 4 In 3.12
Ti 0.0000 0.0000 0.5000 (multiplicity 4)  4 Tl 3.12, 4 In 3.12
Tl 0.2500 0.2500 0.7500 (multiplicity 4)  4 Er 3.12, 4 Ti 3.12
In 0.2500 0.2500 0.2500 (multiplicity 4)  4 Er 3.12, 4 Ti 3.12

Entry 5:
Below is a relaxed BaTaCu2S4 crystal, with properties calculated at the PBE level.

Summary:
The calculation puts the formation energy (no corrections) at -800 meV per atom. The calculation puts the spin magnetization at 0.98 μB per formula unit. As for the calculated volume: 365.68 Å³/cell. The energy is -5.609 eV per atom.

a b c (Å): 6.4113 6.4113 8.8964
angles (deg): 90.00 90.00 90.00
With the nearest neighbours (Å) after each atom.
Space group I-42m (No. 121)
Inequivalent atoms, fractional coordinates:
Ba 0.0000 0.0000 0.0000 (multiplicity 2)  4 S 3.09
Ta 0.0000 0.0000 0.5000 (multiplicity 2)  4 S 2.34
Cu 0.0000 0.5000 0.2500 (multiplicity 4)  4 S 2.43
S 0.2002 0.2002 0.3348 (multiplicity 8)  1 Ta 2.34, 2 Cu 2.43

Entry 6:
Below is a relaxed Ca2TiCr crystal, with properties calculated at the PBE level.

Summary:
The calculation puts the formation energy at 1.179 eV per atom. The calculation puts the spin magnetization at 0.02 μB per formula unit. As for the calculated volume: 377.77 Å³/cell. The energy is -4.202 eV per atom.

a b c (Å): 7.2290 7.2290 7.2290
angles (deg): 90.00 90.00 90.00
With the nearest neighbours (Å) after each atom.
Space group Fm-3m (No. 225)
Inequivalent atoms, fractional coordinates:
Ca 0.2500 0.2500 0.2500 (multiplicity 8)  4 Cr 3.13, 4 Ti 3.13
Ti 0.0000 0.0000 0.0000 (multiplicity 4)  8 Ca 3.13
Cr 0.0000 0.0000 0.5000 (multiplicity 4)  8 Ca 3.13

Entry 7:
Below is a relaxed Mg4H3Ir3 crystal, with properties calculated at the PBE level.

Summary:
The calculation puts the energy relative to the lowest polymorph listed for this composition at 98 meV/atom. The calculation puts the spin magnetization at 0.00 μB per formula unit. As for the calculated volume: 131.52 Å³/cell. The energy is -4.568 eV per atom.

a b c (Å): 5.0424 5.4696 5.5097
angles (deg): 67.57 85.39 69.73
With the nearest neighbours (Å) after each atom.
Space group P1 (No. 1)
Inequivalent atoms, fractional coordinates:
Mg 0.0000 0.0000 0.0000 (multiplicity 1)  1 H 2.19
Mg 0.0052 0.4780 0.4881 (multiplicity 1)  2 H 2.25-2.30
Mg 0.4360 0.1103 0.2776 (multiplicity 1)  2 H 2.19-2.45
Mg 0.4435 0.5963 0.7816 (multiplicity 1)  2 H 2.20-2.40
H 0.2271 0.7954 0.3876 (multiplicity 1)  1 Ir 1.67
H 0.6425 0.7552 0.0493 (multiplicity 1)  2 Ir 1.78-1.80
H 0.8011 0.3189 0.2473 (multiplicity 1)  2 Ir 1.80-1.81
Ir 0.4858 0.0881 0.7900 (multiplicity 1)  1 H 1.78
Ir 0.9524 0.9814 0.5082 (multiplicity 1)  2 H 1.67-1.80
Ir 0.9551 0.5214 0.9704 (multiplicity 1)  2 H 1.80-1.81

Entry 8:
Below is a relaxed CeTiBe crystal, with properties calculated at the PBE level.

Summary:
The calculation puts the formation energy at 0.115 eV per atom. The calculation puts the spin magnetization at 0.26 μB per formula unit. As for the calculated volume: 113.84 Å³/cell. The energy is -5.736 eV per atom.

a b c (Å): 4.2789 4.2789 6.2176
angles (deg): 90.00 90.00 90.00
With the nearest neighbours (Å) after each atom.
Space group P4/nmm (No. 129, origin choice 2)
Inequivalent atoms, fractional coordinates:
Ce 0.2500 0.2500 0.1290 (multiplicity 2)  1 Be 2.72
Ti 0.2500 0.7500 0.5000 (multiplicity 2)  4 Be 2.45
Be 0.2500 0.2500 0.6919 (multiplicity 2)  4 Ti 2.45, 1 Ce 2.72

Repeat the sixth record exactly.
Below is a relaxed Ca2TiCr crystal, with properties calculated at the PBE level.

Summary:
The calculation puts the formation energy at 1.179 eV per atom. The calculation puts the spin magnetization at 0.02 μB per formula unit. As for the calculated volume: 377.77 Å³/cell. The energy is -4.202 eV per atom.

a b c (Å): 7.2290 7.2290 7.2290
angles (deg): 90.00 90.00 90.00
With the nearest neighbours (Å) after each atom.
Space group Fm-3m (No. 225)
Inequivalent atoms, fractional coordinates:
Ca 0.2500 0.2500 0.2500 (multiplicity 8)  4 Cr 3.13, 4 Ti 3.13
Ti 0.0000 0.0000 0.0000 (multiplicity 4)  8 Ca 3.13
Cr 0.0000 0.0000 0.5000 (multiplicity 4)  8 Ca 3.13

Question: The highest spin magnetization belongs to which entry?
Answer: DyZr2Co9

Copy entry 6 word for word.
Below is a relaxed Ca2TiCr crystal, with properties calculated at the PBE level.

Summary:
The calculation puts the formation energy at 1.179 eV per atom. The calculation puts the spin magnetization at 0.02 μB per formula unit. As for the calculated volume: 377.77 Å³/cell. The energy is -4.202 eV per atom.

a b c (Å): 7.2290 7.2290 7.2290
angles (deg): 90.00 90.00 90.00
With the nearest neighbours (Å) after each atom.
Space group Fm-3m (No. 225)
Inequivalent atoms, fractional coordinates:
Ca 0.2500 0.2500 0.2500 (multiplicity 8)  4 Cr 3.13, 4 Ti 3.13
Ti 0.0000 0.0000 0.0000 (multiplicity 4)  8 Ca 3.13
Cr 0.0000 0.0000 0.5000 (multiplicity 4)  8 Ca 3.13